The following is a DFT calculation (PBE-GGA) of a relaxed Pr6GeTe2Se3 crystal.

Its space group is C2/m, No. 12. As for the formation energy from raw total energies: -1.59 eV per atom. Its energy is -69.1 eV for the cell shown. The calculation puts the density at 6.6 g/cm3.

abc: 7.6167 7.6167 7.5298
angles: 99.71 99.71 119.95
Fractional positions:
Pr  0.0862  0.3969  0.7597
Pr  0.2237  0.2237  0.2397
Pr  0.3969  0.0862  0.7597
Pr  0.6031  0.9138  0.2403
Pr  0.7763  0.7763  0.7603
Pr  0.9138  0.6031  0.2403
Ge  0.0000  0.0000  0.5000
Te  0.3340  0.6660  0.5000
Te  0.6660  0.3340  0.5000
Se  0.1730  0.8270  0.0000
Se  0.5000  0.5000  0.0000
Se  0.8270  0.1730  0.0000